(1)
The following is a DFT calculation (GGA-PBE) of a geometry-optimized BaMg2Pd structure.

Cell lengths 16.863, 8.158, 6.314 Å; angles 90.00, 90.00, 90.00 degrees
Element x y z (fractional)
1 Ba 0.101 0.250 0.209
2 Ba 0.134 0.750 0.029
3 Ba 0.366 0.250 0.529
4 Ba 0.399 0.750 0.709
5 Ba 0.601 0.250 0.291
6 Ba 0.634 0.750 0.471
7 Ba 0.866 0.250 0.971
8 Ba 0.899 0.750 0.791
9 Mg 0.048 0.063 0.692
10 Mg 0.048 0.437 0.692
11 Mg 0.210 0.556 0.526
12 Mg 0.210 0.944 0.526
13 Mg 0.290 0.056 0.026
14 Mg 0.290 0.444 0.026
15 Mg 0.452 0.563 0.192
16 Mg 0.452 0.937 0.192
17 Mg 0.548 0.063 0.808
18 Mg 0.548 0.437 0.808
19 Mg 0.710 0.556 0.974
20 Mg 0.710 0.944 0.974
21 Mg 0.790 0.056 0.474
22 Mg 0.790 0.444 0.474
23 Mg 0.952 0.563 0.308
24 Mg 0.952 0.937 0.308
25 Pd 0.071 0.750 0.509
26 Pd 0.190 0.250 0.754
27 Pd 0.310 0.750 0.254
28 Pd 0.429 0.250 0.009
29 Pd 0.571 0.750 0.991
30 Pd 0.690 0.250 0.746
31 Pd 0.810 0.750 0.246
32 Pd 0.929 0.250 0.491

Values from the calculation:
Energy of formation from the pure elements ... -0.416 eV/atom

=====

(2)
The following is a DFT calculation (GGA-PBE) of a geometry-optimized BiTe2RhI structure.

Cell lengths 5.958, 5.958, 5.975 Å; angles 90.00, 90.00, 90.00 degrees
Element x y z (fractional)
1 Bi 0.000 0.000 0.000
2 Te 0.000 0.500 0.000
3 Te 0.500 0.000 0.000
4 Rh 0.500 0.500 0.500
5 I 0.000 0.000 0.500

Values from the calculation:
Energy relative to the elements, uncorrected ... 1.08 eV/atom

=====

(3)
The following is a DFT calculation (GGA-PBE) of a geometry-optimized TbDyInPb structure.

Cell lengths 4.985, 4.985, 8.856 Å; angles 90.00, 90.00, 90.00 degrees
Element x y z (fractional)
1 Tb 0.000 0.000 0.000
2 Tb 0.500 0.500 0.500
3 Dy 0.000 0.000 0.500
4 Dy 0.500 0.500 0.000
5 In 0.000 0.500 0.750
6 In 0.500 0.000 0.250
7 Pb 0.000 0.500 0.250
8 Pb 0.500 0.000 0.750

Values from the calculation:
Energy of formation from the pure elements ... -0.452 eV/atom

=====

(4)
The following is a DFT calculation (GGA-PBE) of a geometry-optimized Sr3Pa2CdN6 structure.

Cell lengths 8.044, 8.044, 7.286 Å; angles 105.12, 105.12, 26.18 degrees
Element x y z (fractional)
1 Sr 0.000 0.000 0.000
2 Sr 0.342 0.342 0.663
3 Sr 0.658 0.658 0.337
4 Pa 0.336 0.336 0.179
5 Pa 0.664 0.664 0.821
6 Cd 0.000 0.000 0.500
7 N 0.172 0.172 0.621
8 N 0.180 0.180 0.047
9 N 0.482 0.482 0.242
10 N 0.518 0.518 0.758
11 N 0.820 0.820 0.953
12 N 0.828 0.828 0.379

Values from the calculation:
Energy relative to the elements, uncorrected ... -1.06 eV/atom

=====

E across the listed records, respectively: -2.992, -2.737, -4.372, -7.303 eV/atom.
Ρ across the listed records, respectively: 4.47, 5.43, 9.71, 7.63 Mg/m³.